(1)
# PBE-GGA Er7Bi2Rh2, optimized geometry
# total magnetic moment = 0.00 μB per cell
# energy relative to the elements = -515 meV/atom
# E above lowest polymorph = 137 meV per atom
data_Er7Bi2Rh2
_cell_length_a 8.690
_cell_length_b 10.483
_cell_length_c 7.184
_cell_angle_alpha 90.00
_cell_angle_beta 90.00
_cell_angle_gamma 90.00
_space_group_name_H-M_alt 'C m m m'
_space_group_IT_number 65
_space_group_name_Hall '-C 2 2'
loop_
_atom_site_label
_atom_site_fract_x
_atom_site_fract_y
_atom_site_fract_z
Er1 0.000 0.000 0.000
Er2 0.000 0.500 0.229
Er3 0.250 0.250 0.237
Bi1 0.206 0.000 0.500
Rh1 0.000 0.278 0.000

***

(2)
# PBE-GGA Li3AgPd7, optimized geometry
# total magnetic moment = 0.00 μB per cell
# energy relative to the elements = -131 meV/atom
data_Li3AgPd7
_cell_length_a 5.5202
_cell_length_b 5.5202
_cell_length_c 6.5931
_cell_angle_alpha 90.00
_cell_angle_beta 90.00
_cell_angle_gamma 120.00
_space_group_name_H-M_alt 'P 3 m 1'
_space_group_IT_number 156
loop_
_space_group_symop_operation_xyz
'x,y,z'
'-y,x-y,z'
'-x+y,-x,z'
'-y,-x,z'
'-x+y,y,z'
'x,x-y,z'
loop_
_atom_site_label
_atom_site_fract_x
_atom_site_fract_y
_atom_site_fract_z
Li1 0.1696 0.3392 0.0000
Ag1 0.0000 0.0000 0.3343
Pd1 0.3333 0.6667 0.6720
Pd2 0.3373 0.1686 0.6905
Pd3 0.5015 0.0029 0.3194

***

(3)
# PBE-GGA Li2MnCl, optimized geometry
# total magnetic moment = 8.01 μB per cell
# E_form (uncorrected) = -408 meV per atom
# E above lowest polymorph = 36 meV per atom
data_Li2MnCl
_cell_length_a 3.507
_cell_length_b 5.100
_cell_length_c 7.915
_cell_angle_alpha 90.00
_cell_angle_beta 90.00
_cell_angle_gamma 90.00
_space_group_name_H-M_alt 'C m m m'
_space_group_IT_number 65
_space_group_name_Hall '-C 2 2'
loop_
_atom_site_label
_atom_site_fract_x
_atom_site_fract_y
_atom_site_fract_z
Li1 0.000 0.000 0.201
Mn1 0.000 0.500 0.500
Cl1 0.000 0.500 0.000

***

(4)
# PBE-GGA Pm2Cu3Ge4Ir, optimized geometry
# total magnetic moment = 0.00 μB per cell
# energy relative to the elements = -546 meV/atom
data_Pm2Cu3Ge4Ir
_cell_length_a 4.169
_cell_length_b 4.169
_cell_length_c 10.290
_cell_angle_alpha 90.00
_cell_angle_beta 90.00
_cell_angle_gamma 90.00
_space_group_name_H-M_alt 'P -4 m 2'
_space_group_IT_number 115
loop_
_space_group_symop_operation_xyz
'x,y,z'
'y,-x,-z'
'-x,-y,z'
'-y,x,-z'
'-x,y,z'
'-y,-x,-z'
'x,-y,z'
'y,x,-z'
loop_
_atom_site_label
_atom_site_fract_x
_atom_site_fract_y
_atom_site_fract_z
Pm1 0.000 0.500 0.249
Cu1 0.000 0.000 0.000
Cu2 0.000 0.500 0.633
Ge1 0.000 0.000 0.500
Ge2 0.000 0.500 0.867
Ge3 0.500 0.500 0.500
Ir1 0.500 0.500 0.000

***

(5)
# PBE-GGA Sm2CuAs3Pd4, optimized geometry
# total magnetic moment = 0.00 μB per cell
# energy relative to the elements = -792 meV/atom
data_Sm2CuAs3Pd4
_cell_length_a 4.305
_cell_length_b 4.305
_cell_length_c 10.174
_cell_angle_alpha 90.00
_cell_angle_beta 90.00
_cell_angle_gamma 90.00
_space_group_name_H-M_alt 'P -4 m 2'
_space_group_IT_number 115
loop_
_space_group_symop_operation_xyz
'x,y,z'
'y,-x,-z'
'-x,-y,z'
'-y,x,-z'
'-x,y,z'
'-y,-x,-z'
'x,-y,z'
'y,x,-z'
loop_
_atom_site_label
_atom_site_fract_x
_atom_site_fract_y
_atom_site_fract_z
Sm1 0.000 0.500 0.247
Cu1 0.000 0.000 0.500
As1 0.000 0.500 0.861
As2 0.500 0.500 0.500
Pd1 0.000 0.000 0.000
Pd2 0.000 0.500 0.623
Pd3 0.500 0.500 0.000

***

(6)
# PBE-GGA MgGa2Cu2, optimized geometry
# total magnetic moment = 0.00 μB per cell
# energy relative to the elements = -36 meV/atom
# E above lowest polymorph = 46 meV per atom
data_MgGa2Cu2
_cell_length_a 3.747
_cell_length_b 3.747
_cell_length_c 11.656
_cell_angle_alpha 90.00
_cell_angle_beta 90.00
_cell_angle_gamma 90.00
_space_group_name_H-M_alt 'I 4/m m m'
_space_group_IT_number 139
_space_group_name_Hall '-I 4 2'
loop_
_atom_site_label
_atom_site_fract_x
_atom_site_fract_y
_atom_site_fract_z
Mg1 0.000 0.000 0.000
Ga1 0.000 0.000 0.392
Cu1 0.000 0.500 0.250

***

> Which value of total magnetic moment does entry 3 give?

8.01 μB per cell